## Ba2CdCo (PBE)

Data for a relaxed structure of Ba2CdCo. Values from VASP.

Structure (Quantum ESPRESSO input):
```
&SYSTEM
  ibrav = 0, nat = 4, ntyp = 3
/
ATOMIC_SPECIES
Ba 137.33 Ba.upf
Cd 112.41 Cd.upf
Co 58.93 Co.upf
ATOMIC_POSITIONS angstrom
Ba 0.000 0.000 0.000
Ba 2.383 0.000 3.500
Cd 0.000 0.000 8.708
Co 2.383 0.000 7.503
CELL_PARAMETERS angstrom
4.767 0.000 0.000
0.000 2.416 6.248
0.000 -2.416 6.248
```

Computed properties:
- Formation enthalpy at 0 K: 15.55 kJ/mol of atoms
- Total magnetization: 0.67 μB per cell
- Density of states at the Fermi level: 1.251 states/eV per atom
- Total DFT energy (no corrections): -0.1031 hartree per atom
- SG: Amm2 (38)